1.
DFT (PBE) results for a relaxed structure of Hf3Be2N.

Properties
- DFT total energy: -96.9 eV for the cell shown
- Energy relative to the elements, uncorrected: -468 meV per atom
- Fermi-level density of states: 3.0 states/eV/f.u.

Cell: 3.1999 4.9133 11.2140 Å, 90.00 90.00 90.00°
Last column: nearest neighbours and their distance in Å.
Space group Immm (No. 71)
Unique sites:
Hf 0.0000 0.0000 0.0000  2 N 2.46, 4 Be 2.57
Hf 0.0000 0.0000 0.3634  2 N 2.22
Be 0.0000 0.5000 0.3206  6 Hf 2.50-2.61
N 0.0000 0.5000 0.0000  6 Hf 2.22-2.46

***

2.
DFT (PBE) results for a relaxed structure of Hf2BeNbN.

Properties
- DFT total energy: -44.5 eV for the cell shown
- Energy relative to the elements, uncorrected: -493 meV per atom
- Fermi-level density of states: 1.3 states/eV/f.u.

Cell: 4.3948 4.3948 4.1351 Å, 90.00 90.00 90.00°
Last column: nearest neighbours and their distance in Å.
Space group P4/mmm (No. 123)
Unique sites:
Hf 0.0000 0.5000 0.0000  2 N 2.20
Be 0.0000 0.0000 0.5000  8 Hf 3.02, 4 Nb 3.11
Nb 0.5000 0.5000 0.5000  2 N 2.07
N 0.5000 0.5000 0.0000  2 Nb 2.07, 4 Hf 2.20

***

3.
DFT (PBE) results for a relaxed structure of NdHf2BeN4.

Properties
- DFT total energy: -297.8 eV for the cell shown
- Energy relative to the elements, uncorrected: -1595 meV per atom
- Fermi-level density of states: 1.5 states/eV/f.u.

Cell: 3.2367 10.8400 10.7500 Å, 90.00 90.00 90.00°
Last column: nearest neighbours and their distance in Å.
Space group Cmcm (No. 63)
Unique sites:
Nd 0.0000 0.1007 0.2500  6 N 2.57-2.60
Hf 0.0000 0.3683 0.0518  6 N 2.16-2.28
Be 0.0000 0.1744 0.7500  4 N 1.71-1.89
N 0.0000 0.0000 0.0000  4 Hf 2.23
N 0.0000 0.2639 0.6192  1 Be 1.71
N 0.0000 0.4160 0.2500  2 Be 1.89

***

4.
DFT (PBE) results for a relaxed structure of NdHfBeN3.

Properties
- DFT total energy: -104.0 eV for the cell shown
- Energy relative to the elements, uncorrected: -1427 meV per atom

Cell: 6.8894 3.2453 6.9508 Å, 90.00 103.86 90.00°
Last column: nearest neighbours and their distance in Å.
Space group P2_1/m (No. 11)
Unique sites:
Nd 0.2269 0.2500 0.1905  7 N 2.50-2.69
Hf 0.1683 0.2500 0.6633  6 N 2.19-2.23
Be 0.4006 0.7500 0.9215  4 N 1.71-1.87
N 0.1455 0.7500 0.8731  1 Be 1.71
N 0.1638 0.7500 0.4416  3 Hf 2.23
N 0.4804 0.2500 0.8325  3 Be 1.71-1.87

***

5.
DFT (PBE) results for a relaxed structure of Hf2BeNiN.

Properties
- DFT total energy: -84.1 eV for the cell shown
- Energy relative to the elements, uncorrected: -866 meV per atom
- Fermi-level density of states: 2.7 states/eV/f.u.

Cell: 5.9176 3.3248 7.0407 Å, 90.00 107.10 90.00°
Last column: nearest neighbours and their distance in Å.
Space group P2_1/m (No. 11)
Unique sites:
Hf 0.1770 0.2500 0.3980  2 N 2.29
Hf 0.2197 0.2500 0.9592  3 N 2.16-2.32
Be 0.4483 0.7500 0.2540  1 N 1.63
Ni 0.3170 0.7500 0.6975  2 Be 2.13
N 0.1605 0.7500 0.1697  1 Be 1.63

***

6.
DFT (PBE) results for a relaxed structure of HfBeNO2.

Properties
- DFT total energy: -39.5 eV for the cell shown
- Energy relative to the elements, uncorrected: -1522 meV per atom
- Fermi-level density of states: 1.5 states/eV/f.u.

Cell: 3.4001 3.4001 3.6244 Å, 90.00 90.00 90.00°
Last column: nearest neighbours and their distance in Å.
Space group P4/mmm (No. 123)
Unique sites:
Hf 0.0000 0.0000 0.0000  4 N 2.40, 8 O 2.48
Be 0.5000 0.5000 0.5000  4 O 1.70, 2 N 1.81
N 0.5000 0.5000 0.0000  2 Be 1.81
O 0.0000 0.5000 0.5000  2 Be 1.70

***

7.
DFT (PBE) results for a relaxed structure of HfBeNO2.

Properties
- DFT total energy: -35.5 eV for the cell shown
- Energy relative to the elements, uncorrected: -725 meV per atom
- Fermi-level density of states: 2.9 states/eV/f.u.

Cell: 4.0264 4.0264 4.1950 Å, 90.00 90.00 90.00°
Last column: nearest neighbours and their distance in Å.
Space group P4/mmm (No. 123)
Unique sites:
Hf 0.0000 0.0000 0.0000  4 O 2.01, 2 N 2.10
Be 0.5000 0.5000 0.5000  4 N 2.85, 8 O 2.91
N 0.0000 0.0000 0.5000  2 Hf 2.10
O 0.0000 0.5000 0.0000  2 Hf 2.01

***

8.
DFT (PBE) results for a relaxed structure of Hf2BeOsN.

Properties
- DFT total energy: -47.6 eV for the cell shown
- Energy relative to the elements, uncorrected: -879 meV per atom
- Fermi-level density of states: 1.2 states/eV/f.u.

Cell: 4.5532 4.5532 3.3200 Å, 90.00 90.00 90.00°
Last column: nearest neighbours and their distance in Å.
Space group P4/mmm (No. 123)
Unique sites:
Hf 0.0000 0.5000 0.0000  2 N 2.28
Be 0.0000 0.0000 0.5000  2 N 1.66
Os 0.5000 0.5000 0.5000  8 Hf 2.82
N 0.0000 0.0000 0.0000  2 Be 1.66

***

9.
DFT (PBE) results for a relaxed structure of HfBeP2N6.

Properties
- DFT total energy: -326.5 eV for the cell shown
- Energy relative to the elements, uncorrected: -717 meV per atom
- Fermi-level density of states: 0.0 states/eV/f.u.

Cell: 9.2250 9.7188 5.3258 Å, 90.00 117.56 90.00°
Last column: nearest neighbours and their distance in Å.
Space group C2/c (No. 15)
Unique sites:
Hf 0.0000 0.1174 0.2500  6 N 2.08-2.28
Be 0.0000 0.1835 0.7500  4 N 1.69-1.81
P 0.1688 0.4102 0.1320  4 N 1.58-1.72
N 0.0883 0.4988 0.3190  1 N 1.44
N 0.0922 0.2609 0.0702  1 P 1.58, 1 Be 1.69
N 0.1381 0.0665 0.7021  1 P 1.60

***

10.
DFT (PBE) results for a relaxed structure of Hf2PaBeN4.

Properties
- DFT total energy: -314.4 eV for the cell shown
- Energy relative to the elements, uncorrected: -1520 meV per atom
- Fermi-level density of states: 4.6 states/eV/f.u.

Cell: 3.1879 10.7825 10.7054 Å, 90.00 90.00 90.00°
Last column: nearest neighbours and their distance in Å.
Space group Cmcm (No. 63)
Unique sites:
Hf 0.0000 0.1308 0.0513  6 N 2.18-2.29
Pa 0.0000 0.4002 0.2500  6 N 2.51-2.55
Be 0.0000 0.3296 0.7500  4 N 1.70-1.87
N 0.0000 0.0801 0.2500  2 Be 1.87
N 0.0000 0.2349 0.6235  1 Be 1.70
N 0.0000 0.5000 0.0000  4 Hf 2.20

***

11.
DFT (PBE) results for a relaxed structure of Hf2BePdN.

Properties
- DFT total energy: -41.5 eV for the cell shown
- Energy relative to the elements, uncorrected: -861 meV per atom
- Fermi-level density of states: 4.0 states/eV/f.u.

Cell: 4.5452 4.5452 3.3984 Å, 90.00 90.00 90.00°
Last column: nearest neighbours and their distance in Å.
Space group P4/mmm (No. 123)
Unique sites:
Hf 0.0000 0.5000 0.0000  2 N 2.27
Be 0.0000 0.0000 0.5000  2 N 1.70
Pd 0.5000 0.5000 0.5000  8 Hf 2.84
N 0.0000 0.0000 0.0000  2 Be 1.70

***

12.
DFT (PBE) results for a relaxed structure of PrHf2BeN4.

Properties
- DFT total energy: -297.5 eV for the cell shown
- Energy relative to the elements, uncorrected: -1583 meV per atom
- Fermi-level density of states: 1.7 states/eV/f.u.

Cell: 3.2461 10.8856 10.7621 Å, 90.00 90.00 90.00°
Last column: nearest neighbours and their distance in Å.
Space group Cmcm (No. 63)
Unique sites:
Pr 0.0000 0.0999 0.2500  8 N 2.59-2.90
Hf 0.0000 0.3680 0.0518  6 N 2.16-2.28
Be 0.0000 0.1750 0.7500  4 N 1.71-1.89
N 0.0000 0.0000 0.0000  4 Hf 2.24
N 0.0000 0.2628 0.6184  1 Be 1.71
N 0.0000 0.4141 0.2500  2 Be 1.89

***

13.
DFT (PBE) results for a relaxed structure of Hf2BePtN.

Properties
- DFT total energy: -43.3 eV for the cell shown
- Energy relative to the elements, uncorrected: -1056 meV per atom
- Fermi-level density of states: 2.4 states/eV/f.u.

Cell: 4.5403 4.5403 3.4129 Å, 90.00 90.00 90.00°
Last column: nearest neighbours and their distance in Å.
Space group P4/mmm (No. 123)
Unique sites:
Hf 0.0000 0.5000 0.0000  2 N 2.27
Be 0.0000 0.0000 0.5000  2 N 1.71
Pt 0.5000 0.5000 0.5000  8 Hf 2.84
N 0.0000 0.0000 0.0000  2 Be 1.71

***

14.
DFT (PBE) results for a relaxed structure of Hf2BeRhN.

Properties
- DFT total energy: -44.3 eV for the cell shown
- Energy relative to the elements, uncorrected: -1002 meV per atom
- Fermi-level density of states: 0.6 states/eV/f.u.

Cell: 4.5089 4.5089 3.3796 Å, 90.00 90.00 90.00°
Last column: nearest neighbours and their distance in Å.
Space group P4/mmm (No. 123)
Unique sites:
Hf 0.0000 0.5000 0.0000  2 N 2.25
Be 0.0000 0.0000 0.5000  2 N 1.69
Rh 0.5000 0.5000 0.5000  8 Hf 2.82
N 0.0000 0.0000 0.0000  2 Be 1.69

***

15.
DFT (PBE) results for a relaxed structure of HfBeS2N.

Properties
- DFT total energy: -31.0 eV for the cell shown
- Offset from the most stable computed form: 0.000 eV/atom
- Energy relative to the elements, uncorrected: -149 meV per atom
- Fermi-level density of states: 2.8 states/eV/f.u.

Cell: 4.5212 4.5212 3.2608 Å, 90.00 90.00 90.00°
Last column: nearest neighbours and their distance in Å.
Space group P4/mmm (No. 123)
Unique sites:
Hf 0.0000 0.0000 0.0000  8 S 2.79
Be 0.5000 0.5000 0.5000  2 N 1.63
S 0.0000 0.5000 0.5000  2 Be 2.26
N 0.5000 0.5000 0.0000  2 Be 1.63

***

16.
DFT (PBE) results for a relaxed structure of HfBeSN2.

Properties
- DFT total energy: -31.6 eV for the cell shown
- Offset from the most stable computed form: 0.380 eV/atom
- Energy relative to the elements, uncorrected: 581 meV per atom
- Fermi-level density of states: 2.5 states/eV/f.u.

Cell: 3.9933 3.9933 5.3787 Å, 90.00 90.00 90.00°
Last column: nearest neighbours and their distance in Å.
Space group P4/mmm (No. 123)
Unique sites:
Hf 0.0000 0.0000 0.0000  4 N 2.00
Be 0.5000 0.5000 0.5000  4 S 2.82
S 0.0000 0.0000 0.5000  2 Hf 2.69, 4 Be 2.82
N 0.0000 0.5000 0.0000  2 Hf 2.00

***

17.
DFT (PBE) results for a relaxed structure of HfBeSN2.

Properties
- DFT total energy: -33.5 eV for the cell shown
- Offset from the most stable computed form: 0.000 eV/atom
- Energy relative to the elements, uncorrected: 201 meV per atom
- Fermi-level density of states: 2.5 states/eV/f.u.

Cell: 3.5418 3.5418 4.5054 Å, 90.00 90.00 90.00°
Last column: nearest neighbours and their distance in Å.
Space group P4/mmm (No. 123)
Unique sites:
Hf 0.0000 0.0000 0.0000  4 S 2.50
Be 0.5000 0.5000 0.5000  4 N 1.77
S 0.5000 0.5000 0.0000  2 Be 2.25, 4 Hf 2.50
N 0.0000 0.5000 0.5000  2 Be 1.77

***

18.
DFT (PBE) results for a relaxed structure of HfBeS2N.

Properties
- DFT total energy: -28.9 eV for the cell shown
- Offset from the most stable computed form: 0.424 eV/atom
- Energy relative to the elements, uncorrected: 275 meV per atom
- Fermi-level density of states: 2.1 states/eV/f.u.

Cell: 4.9946 4.9946 4.0536 Å, 90.00 90.00 90.00°
Last column: nearest neighbours and their distance in Å.
Space group P4/mmm (No. 123)
Unique sites:
Hf 0.0000 0.0000 0.0000  2 N 2.03
Be 0.5000 0.5000 0.5000  8 S 3.22, 4 N 3.53
S 0.0000 0.5000 0.0000  2 Hf 2.50
N 0.0000 0.0000 0.5000  2 Hf 2.03

***

19.
DFT (PBE) results for a relaxed structure of HfBe2SiN.

Properties
- DFT total energy: -27.6 eV for the cell shown
- Energy relative to the elements, uncorrected: 706 meV per atom
- Fermi-level density of states: 2.7 states/eV/f.u.

Cell: 4.3078 4.3078 3.4717 Å, 90.00 90.00 90.00°
Last column: nearest neighbours and their distance in Å.
Space group P4/mmm (No. 123)
Unique sites:
Hf 0.0000 0.0000 0.0000  8 Be 2.77, 4 N 3.05
Be 0.0000 0.5000 0.5000  2 Si 2.15
Si 0.5000 0.5000 0.5000  2 N 1.74
N 0.5000 0.5000 0.0000  2 Si 1.74

***

20.
DFT (PBE) results for a relaxed structure of SmHfBeN3.

Properties
- DFT total energy: -104.3 eV for the cell shown
- Energy relative to the elements, uncorrected: -1459 meV per atom

Cell: 6.8341 3.2232 6.8844 Å, 90.00 103.14 90.00°
Last column: nearest neighbours and their distance in Å.
Space group P2_1/m (No. 11)
Unique sites:
Sm 0.2239 0.2500 0.1871  7 N 2.46-2.64
Hf 0.1700 0.2500 0.6619  6 N 2.19-2.23
Be 0.4018 0.7500 0.9209  4 N 1.71-1.86
N 0.1455 0.7500 0.8748  1 Be 1.71
N 0.1640 0.7500 0.4377  3 Hf 2.23, 2 Sm 2.46
N 0.4832 0.2500 0.8312  3 Be 1.71-1.86

***

21.
DFT (PBE) results for a relaxed structure of SrHfBeN3.

Properties
- DFT total energy: -93.5 eV for the cell shown
- Energy relative to the elements, uncorrected: -1068 meV per atom
- Fermi-level density of states: 3.6 states/eV/f.u.

Cell: 7.1408 3.2503 7.1504 Å, 90.00 105.98 90.00°
Last column: nearest neighbours and their distance in Å.
Space group P2_1/m (No. 11)
Unique sites:
Sr 0.2306 0.2500 0.1916  7 N 2.65-2.76, 1 Be 2.94
Hf 0.1645 0.2500 0.6629  6 N 2.19-2.20
Be 0.4033 0.7500 0.9211  4 N 1.71-1.83
N 0.1523 0.7500 0.8673  1 Be 1.73
N 0.1549 0.7500 0.4539  3 Hf 2.20
N 0.4685 0.2500 0.8385  3 Be 1.71-1.83

***

22.
DFT (PBE) results for a relaxed structure of TbHf2BeN4.

Properties
- DFT total energy: -298.4 eV for the cell shown
- Energy relative to the elements, uncorrected: -1630 meV per atom
- Fermi-level density of states: 1.3 states/eV/f.u.

Cell: 3.1958 10.6788 10.7129 Å, 90.00 90.00 90.00°
Last column: nearest neighbours and their distance in Å.
Space group Cmcm (No. 63)
Unique sites:
Tb 0.0000 0.1036 0.2500  6 N 2.50-2.51
Hf 0.0000 0.3693 0.0520  6 N 2.16-2.29
Be 0.0000 0.1721 0.7500  4 N 1.71-1.89
N 0.0000 0.0000 0.0000  4 Hf 2.19
N 0.0000 0.2677 0.6225  1 Be 1.71
N 0.0000 0.4233 0.2500  2 Be 1.89

***

23.
DFT (PBE) results for a relaxed structure of HfBeTe2N.

Properties
- DFT total energy: -27.2 eV for the cell shown
- Offset from the most stable computed form: 0.000 eV/atom
- Energy relative to the elements, uncorrected: 218 meV per atom
- Fermi-level density of states: 3.7 states/eV/f.u.

Cell: 5.4255 5.4255 3.1666 Å, 90.00 90.00 90.00°
Last column: nearest neighbours and their distance in Å.
Space group P4/mmm (No. 123)
Unique sites:
Hf 0.0000 0.0000 0.0000  8 Te 3.14, 2 Hf 3.17
Be 0.5000 0.5000 0.5000  2 N 1.58
Te 0.0000 0.5000 0.5000  2 Be 2.71
N 0.5000 0.5000 0.0000  2 Be 1.58

***

24.
DFT (PBE) results for a relaxed structure of HfBeTe2N.

Properties
- DFT total energy: -25.9 eV for the cell shown
- Offset from the most stable computed form: 0.255 eV/atom
- Energy relative to the elements, uncorrected: 472 meV per atom
- Fermi-level density of states: 5.1 states/eV/f.u.

Cell: 5.6900 5.6900 3.9636 Å, 90.00 90.00 90.00°
Last column: nearest neighbours and their distance in Å.
Space group P4/mmm (No. 123)
Unique sites:
Hf 0.0000 0.0000 0.0000  2 N 1.98
Be 0.5000 0.5000 0.5000  8 Te 3.47
Te 0.0000 0.5000 0.0000  2 Hf 2.84
N 0.0000 0.0000 0.5000  2 Hf 1.98